(1)
# AlReB (GGA-PBE, optimized geometry)
# Magnetization = 0.16 μB per formula unit
# Energy = -6.284 eV per atom
data_AlReB
_chemical_formula_sum 'Al4 Re4 B4'
_symmetry_space_group_name_H-M 'F -4 3 m'
_symmetry_Int_Tables_number 216
_symmetry_space_group_name_Hall 'F -4 2 3'
_cell_length_a 5.514
_cell_length_b 5.514
_cell_length_c 5.514
_cell_angle_alpha 90.00
_cell_angle_beta 90.00
_cell_angle_gamma 90.00
loop_
_atom_site_label
_atom_site_fract_x
_atom_site_fract_y
_atom_site_fract_z
_atom_site_occupancy
Al1 0.000 0.000 0.000 1
Re1 0.250 0.250 0.250 1
B1 0.250 0.250 0.750 1



(2)
# Nd2TmMg3ZnIn2 (GGA-PBE, optimized geometry)
# Magnetization = 0.01 μB per formula unit
# Energy = -3.186 eV per atom
data_Nd2TmMg3ZnIn2
_chemical_formula_sum 'Nd4 Tm2 Mg6 Zn2 In4'
_symmetry_space_group_name_H-M 'A m m 2'
_symmetry_Int_Tables_number 38
_symmetry_space_group_name_Hall 'A 2 -2'
_cell_length_a 4.654
_cell_length_b 12.903
_cell_length_c 7.647
_cell_angle_alpha 90.00
_cell_angle_beta 90.00
_cell_angle_gamma 90.00
loop_
_atom_site_label
_atom_site_fract_x
_atom_site_fract_y
_atom_site_fract_z
_atom_site_occupancy
Nd1 0.000 0.206 0.000 1
Tm1 0.000 0.000 0.383 1
Mg1 0.500 0.000 0.025 1
Mg2 0.500 0.118 0.673 1
Zn1 0.000 0.000 0.781 1
In1 0.500 0.162 0.294 1